! Tm5Bi2Te (PBE-GGA, optimized geometry); values from VASP
&SYSTEM
  ibrav = 0, nat = 16, ntyp = 3
/
ATOMIC_SPECIES
Tm 168.93 Tm.upf
Bi 208.98 Bi.upf
Te 127.60 Te.upf
ATOMIC_POSITIONS angstrom
Tm 3.028 5.530 8.176
Tm 3.028 5.530 11.935
Tm 3.028 1.582 3.352
Tm 3.028 1.479 7.518
Tm 3.028 1.479 12.593
Tm 3.028 -1.479 0.814
Tm 3.028 -1.479 5.889
Tm 3.028 -1.582 10.055
Tm 3.028 -5.530 1.472
Tm 3.028 -5.530 5.231
Bi 3.028 3.874 1.229
Bi 3.028 3.874 5.475
Bi 3.028 -3.874 7.932
Bi 3.028 -3.874 12.179
Te 3.028 3.226 10.055
Te 3.028 -3.226 3.352
CELL_PARAMETERS angstrom
3.028 -6.232 0.000
3.028 6.232 0.000
0.000 0.000 13.407
! - Raw total energy: -4.61 eV per atom
! - Energy relative to the elements, uncorrected: -43.2 kJ per mole of atoms
! - SG: Cmcm (63)